Tm6CoBi: relaxed, GGA-PBE.

Values from the calculation:
- D(E_F): 9.750 states/eV/f.u.
- ΔH_f (0 K): -0.74 eV/f.u.

a = 6.6346 Å, b = 6.6415 Å, c = 7.5522 Å
α = 90.10°, β = 116.01°, γ = 119.88°
Closest atoms and distances in Å follow each position.
Fractional coordinates of all 8 atoms:
Tm 0.0589 0.0916 0.2741  1 Co 2.55
Tm 0.3079 0.7164 0.2745  1 Co 2.55
Tm 0.3147 0.5323 0.7248  1 Co 2.56
Tm 0.6853 0.4677 0.2752  1 Co 2.56
Tm 0.6921 0.2836 0.7255  1 Co 2.55
Tm 0.9411 0.9084 0.7259  1 Co 2.55
Co 0.5000 0.5000 0.5000  6 Tm 2.55-2.56
Bi 0.5000 0.0000 0.0000  6 Tm 3.07

Tm8CoBi2: relaxed, GGA-PBE.

Values from the calculation:
- D(E_F): 10.484 states/eV/f.u.
- ΔH_f (0 K): -3.27 eV/f.u.

a = 9.7607 Å, b = 9.7607 Å, c = 7.3124 Å
α = 96.01°, β = 96.01°, γ = 26.46°
Closest atoms and distances in Å follow each position.
Fractional coordinates of all 11 atoms:
Tm 0.0014 0.0014 0.2206  2 Co 2.75
Tm 0.2124 0.2124 0.3483  3 Bi 3.21-3.29, 6 Tm 3.36-3.50
Tm 0.3698 0.3698 0.9533  1 Co 2.46
Tm 0.4067 0.4067 0.4819  2 Bi 3.31, 8 Tm 3.46-3.59
Tm 0.5933 0.5933 0.5181  2 Bi 3.31, 8 Tm 3.46-3.59
Tm 0.6302 0.6302 0.0467  1 Co 2.46
Tm 0.7876 0.7876 0.6517  3 Bi 3.21-3.29, 6 Tm 3.36-3.50
Tm 0.9986 0.9986 0.7794  2 Co 2.75
Co 0.5000 0.5000 0.0000  6 Tm 2.46-2.75
Bi 0.1830 0.1830 0.7839  8 Tm 3.18-3.50
Bi 0.8170 0.8170 0.2161  8 Tm 3.18-3.50

Tm6CoBi2: relaxed, GGA-PBE.

Values from the calculation:
- D(E_F): 10.377 states/eV/f.u.
- ΔH_f (0 K): -4.11 eV/f.u.
- Energy above the most stable polymorph in this dataset: 0.0 kJ per mole of atoms

a = 8.2743 Å, b = 8.2743 Å, c = 4.0572 Å
α = 90.00°, β = 90.00°, γ = 120.00°
Closest atoms and distances in Å follow each position.
Fractional coordinates of all 9 atoms:
Tm 0.0000 0.2308 0.0000  2 Co 2.79
Tm 0.0000 0.6112 0.5000  1 Co 3.22, 4 Bi 3.27, 4 Tm 3.46
Tm 0.2308 0.0000 0.0000  2 Co 2.79
Tm 0.3888 0.3888 0.5000  1 Co 3.22, 4 Bi 3.27, 4 Tm 3.46
Tm 0.6112 0.0000 0.5000  1 Co 3.22, 4 Bi 3.27, 4 Tm 3.46
Tm 0.7692 0.7692 0.0000  2 Co 2.79
Co 0.0000 0.0000 0.5000  6 Tm 2.79
Bi 0.3333 0.6667 0.0000  9 Tm 3.27
Bi 0.6667 0.3333 0.0000  9 Tm 3.27

Tm5CoBi2: relaxed, GGA-PBE.

Values from the calculation:
- D(E_F): 3.425 states/eV/f.u.
- ΔH_f (0 K): -1.14 eV/f.u.
- Energy above the most stable polymorph in this dataset: 36.7 kJ per mole of atoms

a = 8.4037 Å, b = 8.4037 Å, c = 14.0840 Å
α = 90.00°, β = 90.00°, γ = 143.17°
Closest atoms and distances in Å follow each position.
Fractional coordinates of all 16 atoms:
Tm 0.0533 0.9467 0.6237  1 Co 2.51
Tm 0.0533 0.9467 0.8763  1 Co 2.51
Tm 0.2673 0.7327 0.6092  1 Co 2.58
Tm 0.2673 0.7327 0.8908  1 Co 2.58
Tm 0.3130 0.6870 0.2500  2 Co 2.68
Tm 0.6870 0.3130 0.7500  2 Co 2.68
Tm 0.7327 0.2673 0.1092  1 Co 2.58
Tm 0.7327 0.2673 0.3908  1 Co 2.58
Tm 0.9467 0.0533 0.1237  1 Co 2.51
Tm 0.9467 0.0533 0.3763  1 Co 2.51
Co 0.1644 0.8356 0.7500  6 Tm 2.51-2.68
Co 0.8356 0.1644 0.2500  6 Tm 2.51-2.68
Bi 0.1404 0.8596 0.0762  5 Tm 3.07-3.30
Bi 0.1404 0.8596 0.4238  5 Tm 3.07-3.30
Bi 0.8596 0.1404 0.5762  5 Tm 3.07-3.30
Bi 0.8596 0.1404 0.9238  5 Tm 3.07-3.30